Record 1
Na3TiF6 | PBE-GGA | optimized geometry

Properties
D(E_F), states/eV/f.u.: 5.96
E_tot, eV per atom: -5.320
Magnetic moment, μB per cell: 2.0
Space group: P2_1/c, No. 14
Formation energy without anion corrections, eV per atom: -3.012
Relative energy among the computed polymorphs, meV/atom: 0.0

Cell lengths 5.8071, 5.6276, 9.8363 Å; angles 55.83, 90.00, 90.00 degrees
Last column: nearest neighbours and their distance in Å.
Positions (direct):
F: 0.8238 0.3486 0.9448  1 Ti 2.00
F: 0.7196 0.7605 0.0733  1 Ti 1.97
F: 0.1762 0.6514 0.0552  1 Ti 2.00
F: 0.4358 0.8919 0.7297  1 Ti 2.02
F: 0.9358 0.1081 0.7703  1 Ti 2.02
F: 0.7804 0.7605 0.5733  1 Ti 1.97
F: 0.0642 0.8919 0.2297  1 Ti 2.02
F: 0.2804 0.2395 0.9267  1 Ti 1.97
F: 0.6762 0.3486 0.4448  1 Ti 2.00
F: 0.3238 0.6514 0.5552  1 Ti 2.00
F: 0.2196 0.2395 0.4267  1 Ti 1.97
F: 0.5642 0.1081 0.2703  1 Ti 2.02
Ti: 0.0000 0.0000 0.0000  6 F 1.97-2.02
Ti: 0.5000 0.0000 0.5000  6 F 1.97-2.02
Na: 0.5555 0.2701 0.7427  4 F 2.31-2.35
Na: 0.4445 0.7299 0.2573  4 F 2.31-2.35
Na: 0.5000 0.5000 0.0000  6 F 2.25-2.34
Na: 0.9445 0.2701 0.2427  4 F 2.31-2.35
Na: 0.0555 0.7299 0.7573  4 F 2.31-2.35
Na: 0.0000 0.5000 0.5000  6 F 2.25-2.34

Record 2
NaTiF3 | PBE-GGA | optimized geometry

Properties
D(E_F), states/eV/f.u.: 4.89
E_tot, eV per atom: -5.636
Magnetic moment, μB per cell: 1.9
Space group: Pm-3m, No. 221
Formation energy without anion corrections, eV per atom: -2.670

Cell lengths 4.1549, 4.1549, 4.1549 Å; angles 90.00, 90.00, 90.00 degrees
Last column: nearest neighbours and their distance in Å.
Positions (direct):
Ti: 0.5000 0.5000 0.5000  6 F 2.08
Na: 0.0000 0.0000 0.0000  12 F 2.94
F: 0.5000 0.5000 0.0000  2 Ti 2.08
F: 0.0000 0.5000 0.5000  2 Ti 2.08
F: 0.5000 0.0000 0.5000  2 Ti 2.08

Record 3
Na2TiF4 | PBE-GGA | optimized geometry

Properties
D(E_F), states/eV/f.u.: 3.65
E_tot, eV per atom: -5.236
Magnetic moment, μB per cell: 1.8
Space group: I4/mmm, No. 139
Formation energy without anion corrections, eV per atom: -2.662
Relative energy among the computed polymorphs, meV/atom: 0.0

Cell lengths 4.1156, 4.1156, 6.8055 Å; angles 72.40, 72.40, 90.00 degrees
Last column: nearest neighbours and their distance in Å.
Positions (direct):
Ti: 0.0000 0.0000 0.0000  6 F 2.06-2.08
Na: 0.3481 0.3481 0.3037  1 F 2.21
Na: 0.6519 0.6519 0.6963  1 F 2.21
F: 0.8313 0.8313 0.3375  1 Ti 2.08, 1 Na 2.21
F: 0.1687 0.1687 0.6625  1 Ti 2.08, 1 Na 2.21
F: 0.0000 0.5000 0.0000  2 Ti 2.06
F: 0.5000 0.0000 0.0000  2 Ti 2.06

Record 4
NaTiF3 | PBE-GGA | optimized geometry

Properties
D(E_F), states/eV/f.u.: 0.00
E_tot, eV per atom: -4.900
Magnetic moment, μB per cell: 2.0
Space group: Pm-3m, No. 221
Formation energy without anion corrections, eV per atom: -1.934

Cell lengths 4.0418, 4.0418, 4.0418 Å; angles 90.00, 90.00, 90.00 degrees
Last column: nearest neighbours and their distance in Å.
Positions (direct):
Na: 0.0000 0.0000 0.0000  6 F 2.02
Ti: 0.5000 0.5000 0.5000  12 F 2.86
F: 0.0000 0.0000 0.5000  2 Na 2.02
F: 0.5000 0.0000 0.0000  2 Na 2.02
F: 0.0000 0.5000 0.0000  2 Na 2.02

Record 5
NaTiTlF6 | PBE-GGA | optimized geometry

Properties
D(E_F), states/eV/f.u.: 0.00
E_tot, eV per atom: -5.534
Magnetic moment, μB per cell: 0.0
Space group: P312, No. 149
Formation energy without anion corrections, eV per atom: -2.999

Cell lengths 5.7940, 5.7940, 5.6780 Å; angles 90.02, 89.98, 59.95 degrees
Last column: nearest neighbours and their distance in Å.
Positions (direct):
F: 0.5927 0.0539 0.3100  1 Ti 1.90
F: 0.3532 0.0546 0.6903  1 Ti 1.90
F: 0.0539 0.5927 0.6900  1 Ti 1.90
F: 0.3536 0.5920 0.3096  1 Ti 1.90
F: 0.5920 0.3536 0.6903  1 Ti 1.90
F: 0.0545 0.3532 0.3097  1 Ti 1.90
Ti: 0.3333 0.3334 0.5000  6 F 1.90
Na: 0.6665 0.6666 0.5000  6 F 2.33
Tl: 0.9999 0.0000 0.0000  6 F 2.83

Record 6
Na3U6TiF30 | PBE-GGA | optimized geometry

Properties
D(E_F), states/eV/f.u.: 25.93
E_tot, eV per atom: -6.875
Magnetic moment, μB per cell: 26.0
Space group: P-3c1, No. 165
Formation energy without anion corrections, eV per atom: -3.482

Cell lengths 9.9673, 9.9673, 13.1070 Å; angles 90.00, 90.00, 120.00 degrees
Last column: nearest neighbours and their distance in Å.
Positions (direct):
F: 0.8212 0.9228 0.6630  1 Ti 1.92
F: 0.6612 0.1731 0.3632  2 U 2.30-2.33
F: 0.1961 0.3070 0.9834  2 U 2.26-2.43
F: 0.3070 0.1109 0.0166  2 U 2.26-2.43
F: 0.1300 0.4345 0.2849  1 Na 2.29, 2 U 2.32-2.45, 1 F 2.42
F: 0.1731 0.6612 0.1368  2 U 2.30-2.33
F: 0.1961 0.8891 0.4834  2 U 2.26-2.43
F: 0.4111 0.8801 0.9486  2 U 2.29-2.44, 1 Na 2.37, 1 F 2.54
F: 0.8269 0.3388 0.8632  2 U 2.30-2.33
F: 0.9228 0.1016 0.3370  1 Ti 1.92
F: 0.1199 0.5310 0.9486  2 U 2.29-2.44, 1 Na 2.37, 1 F 2.54
F: 0.6930 0.8891 0.9834  2 U 2.26-2.43
F: 0.5889 0.4690 0.5514  2 U 2.29-2.44, 1 Na 2.37, 1 F 2.54
F: 0.8039 0.1109 0.5166  2 U 2.26-2.43
F: 0.8039 0.6930 0.0166  2 U 2.26-2.43
F: 0.4881 0.6612 0.6368  2 U 2.30-2.33
F: 0.1788 0.1016 0.8370  1 Ti 1.92
F: 0.4881 0.8269 0.1368  2 U 2.30-2.33
F: 0.1109 0.8039 0.9834  2 U 2.26-2.43
F: 0.1016 0.9228 0.1630  1 Ti 1.92
F: 0.3388 0.8269 0.6368  2 U 2.30-2.33
F: 0.3045 0.4345 0.7849  1 Na 2.29, 2 U 2.32-2.45, 1 F 2.42
F: 0.5119 0.3388 0.3632  2 U 2.30-2.33
F: 0.8891 0.1961 0.0166  2 U 2.26-2.43
F: 0.3388 0.5119 0.1368  2 U 2.30-2.33
F: 0.0772 0.8984 0.6630  1 Ti 1.92
F: 0.1199 0.5889 0.4486  2 U 2.29-2.44, 1 Na 2.37, 1 F 2.54
F: 0.5655 0.6955 0.2849  1 Na 2.29, 2 U 2.32-2.45, 1 F 2.42
F: 0.6930 0.8039 0.4834  2 U 2.26-2.43
F: 0.8984 0.0772 0.8370  1 Ti 1.92
F: 0.4111 0.5310 0.4486  2 U 2.29-2.44, 1 Na 2.37, 1 F 2.54
F: 0.1300 0.6955 0.7849  1 Na 2.29, 2 U 2.32-2.45, 1 F 2.42
F: 0.8801 0.4111 0.5514  2 U 2.29-2.44, 1 Na 2.37, 1 F 2.54
F: 0.0772 0.1788 0.1630  1 Ti 1.92
F: 0.4690 0.8801 0.4486  2 U 2.29-2.44, 1 Na 2.37, 1 F 2.54
F: 0.5310 0.1199 0.5514  2 U 2.29-2.44, 1 Na 2.37, 1 F 2.54
F: 0.1109 0.3070 0.4834  2 U 2.26-2.43
F: 0.8212 0.8984 0.1630  1 Ti 1.92
F: 0.4345 0.3045 0.7151  1 Na 2.29, 2 U 2.32-2.45, 1 F 2.42
F: 0.8801 0.4690 0.0514  2 U 2.29-2.44, 1 Na 2.37, 1 F 2.54
F: 0.5310 0.4111 0.0514  2 U 2.29-2.44, 1 Na 2.37, 1 F 2.54
F: 0.8269 0.4881 0.3632  2 U 2.30-2.33
F: 0.8891 0.6930 0.5166  2 U 2.26-2.43
F: 0.4345 0.1300 0.2151  1 Na 2.29, 2 U 2.32-2.45, 1 F 2.42
F: 0.5655 0.8700 0.7849  1 Na 2.29, 2 U 2.32-2.45, 1 F 2.42
F: 0.5889 0.1199 0.0514  2 U 2.29-2.44, 1 Na 2.37, 1 F 2.54
F: 0.8700 0.5655 0.7151  1 Na 2.29, 2 U 2.32-2.45, 1 F 2.42
F: 0.6612 0.4881 0.8632  2 U 2.30-2.33
F: 0.6955 0.5655 0.2151  1 Na 2.29, 2 U 2.32-2.45, 1 F 2.42
F: 0.9228 0.8212 0.8370  1 Ti 1.92
F: 0.1731 0.5119 0.6368  2 U 2.30-2.33
F: 0.1788 0.0772 0.3370  1 Ti 1.92
F: 0.8700 0.3045 0.2151  1 Na 2.29, 2 U 2.32-2.45, 1 F 2.42
F: 0.8984 0.8212 0.3370  1 Ti 1.92
F: 0.3045 0.8700 0.2849  1 Na 2.29, 2 U 2.32-2.45, 1 F 2.42
F: 0.6955 0.1300 0.7151  1 Na 2.29, 2 U 2.32-2.45, 1 F 2.42
F: 0.1016 0.1788 0.6630  1 Ti 1.92
F: 0.5119 0.1731 0.8632  2 U 2.30-2.33
F: 0.3070 0.1961 0.5166  2 U 2.26-2.43
F: 0.4690 0.5889 0.9486  2 U 2.29-2.44, 1 Na 2.37, 1 F 2.54
U: 0.3276 0.4034 0.6011  9 F 2.26-2.45
U: 0.3276 0.9242 0.1011  9 F 2.26-2.45
U: 0.4034 0.0758 0.3989  9 F 2.26-2.45
U: 0.0758 0.6724 0.6011  9 F 2.26-2.45
U: 0.0758 0.4034 0.1011  9 F 2.26-2.45
U: 0.6724 0.0758 0.8989  9 F 2.26-2.45
U: 0.9242 0.5966 0.8989  9 F 2.26-2.45
U: 0.6724 0.5966 0.3989  9 F 2.26-2.45
U: 0.4034 0.3276 0.8989  9 F 2.26-2.45
U: 0.5966 0.9242 0.6011  9 F 2.26-2.45
U: 0.9242 0.3276 0.3989  9 F 2.26-2.45
U: 0.5966 0.6724 0.1011  9 F 2.26-2.45
Ti: 0.0000 0.0000 0.7500  6 F 1.92
Ti: 0.0000 0.0000 0.2500  6 F 1.92
Na: 0.3333 0.6667 0.3371  6 F 2.29-2.37
Na: 0.0000 0.0000 0.0000  12 F 2.64-2.69
Na: 0.3333 0.6667 0.8371  6 F 2.29-2.37
Na: 0.6667 0.3333 0.1629  6 F 2.29-2.37
Na: 0.6667 0.3333 0.6629  6 F 2.29-2.37
Na: 0.0000 0.0000 0.5000  12 F 2.64-2.69